Density functional theory data (PBE) for a relaxed structure of SbPPd4.

a = 6.588 Å, b = 3.665 Å, c = 16.424 Å
α = 90.00°, β = 90.00°, γ = 90.00°
Fractional positions:
Sb (0.247, 0.250, 0.198)
Sb (0.253, 0.750, 0.698)
Sb (0.747, 0.250, 0.302)
Sb (0.753, 0.750, 0.802)
P (0.249, 0.750, 0.446)
P (0.251, 0.250, 0.946)
P (0.749, 0.750, 0.054)
P (0.751, 0.250, 0.554)
Pd (0.021, 0.250, 0.063)
Pd (0.069, 0.250, 0.804)
Pd (0.123, 0.250, 0.360)
Pd (0.130, 0.250, 0.543)
Pd (0.370, 0.750, 0.043)
Pd (0.377, 0.750, 0.860)
Pd (0.431, 0.750, 0.304)
Pd (0.479, 0.750, 0.563)
Pd (0.521, 0.250, 0.437)
Pd (0.569, 0.250, 0.696)
Pd (0.623, 0.250, 0.140)
Pd (0.630, 0.250, 0.957)
Pd (0.870, 0.750, 0.457)
Pd (0.877, 0.750, 0.640)
Pd (0.931, 0.750, 0.196)
Pd (0.979, 0.750, 0.937)

Computed properties:
SG = No. 62
E_form (uncorrected) = -0.40 eV per atom
volume = 396.53 Å³/cell